Record 1
Ba6Se2Br3N | Alexandria via LeMat-Bulk | PBE | optimized geometry; symmetry = C2/m; energy relative to the elements, uncorrected = -1.61 eV/atom
1.0
3.958 -6.837 0.000
3.958 6.837 0.000
-2.634 0.000 7.790
Ba Se Br N
6 2 3 1
Cartesian
1.182 2.039 1.635
-0.272 0.000 6.130
1.182 -2.039 1.635
4.101 2.039 6.155
5.554 0.000 1.661
4.101 -2.039 6.155
3.958 2.271 0.000
3.958 -2.271 0.000
2.641 4.458 3.895
2.641 0.000 3.895
2.641 -4.458 3.895
0.000 0.000 0.000

=====

Record 2
Tm4Ga3Os | Alexandria via LeMat-Bulk | PBE | optimized geometry; symmetry = P4/mmm; energy of formation = -51.05 kJ/mol of atoms
1.0
3.463 0.000 0.000
0.000 3.463 0.000
0.000 0.000 14.134
Tm Ga Os
4 3 1
Cartesian
0.000 0.000 1.603
0.000 0.000 5.238
0.000 0.000 8.896
0.000 0.000 12.531
1.732 1.732 3.452
1.732 1.732 7.067
1.732 1.732 10.683
1.732 1.732 0.000